[1]
Compound: Sc2In8Ir
Source: Alexandria via LeMat-Bulk
Functional: GGA-PBE
Structure: optimized geometry Values from VASP.

Volume (Å³/cell): 250.6
ρ (kg/m³): 7957
DFT formation energy (eV/atom): -0.28
Final energy (eV/f.u.): -46.47

Structure (Quantum ESPRESSO input):
```
&SYSTEM
  ibrav = 0, nat = 11, ntyp = 3
/
ATOMIC_SPECIES
Sc 44.96 Sc.upf
In 114.82 In.upf
Ir 192.22 Ir.upf
ATOMIC_POSITIONS angstrom
Sc 0.000 0.000 3.673
In 2.299 2.299 3.688
In 0.000 2.299 5.927
In 2.299 0.000 5.927
Sc 0.000 0.000 8.180
In 2.299 2.299 8.165
In 0.000 2.299 1.516
Ir 0.000 0.000 0.000
In 0.000 2.299 10.337
In 2.299 0.000 1.516
In 2.299 0.000 10.337
CELL_PARAMETERS angstrom
4.598 0.000 0.000
0.000 4.598 0.000
0.000 0.000 11.853
```

[2]
Compound: Sc3InIr4
Source: Alexandria via LeMat-Bulk
Functional: GGA-PBE
Structure: optimized geometry Values from VASP.

Volume (Å³/cell): 134.8
ρ (kg/m³): 12551
DFT formation energy (eV/atom): -0.83
Final energy (eV/f.u.): -63.79

Structure (Quantum ESPRESSO input):
```
&SYSTEM
  ibrav = 0, nat = 8, ntyp = 3
/
ATOMIC_SPECIES
Ir 192.22 Ir.upf
Sc 44.96 Sc.upf
In 114.82 In.upf
ATOMIC_POSITIONS angstrom
Ir 3.972 2.426 2.662
Sc 1.615 0.986 2.589
Ir 2.441 1.492 7.846
Sc 3.207 1.959 5.254
Ir 5.580 3.409 5.271
In 0.000 0.000 0.000
Ir 0.833 0.509 5.237
Sc 4.799 2.932 7.919
CELL_PARAMETERS angstrom
4.376 0.000 1.292
1.997 3.894 1.292
0.040 0.024 7.924
```

[3]
Compound: Sc5InIr
Source: Alexandria via LeMat-Bulk
Functional: GGA-PBE
Structure: optimized geometry Values from VASP.

Volume (Å³/cell): 312.3
ρ (kg/m³): 5655
DFT formation energy (eV/atom): -0.33
Final energy (eV/f.u.): -45.56

Structure (Quantum ESPRESSO input):
```
&SYSTEM
  ibrav = 0, nat = 14, ntyp = 3
/
ATOMIC_SPECIES
In 114.82 In.upf
Ir 192.22 Ir.upf
Sc 44.96 Sc.upf
ATOMIC_POSITIONS angstrom
In 2.824 -4.094 2.181
Ir 0.000 0.000 0.000
Sc 6.216 -3.448 3.040
Sc 9.344 -2.963 4.086
Sc 0.720 -4.957 4.113
Sc 1.179 -2.441 5.796
Sc 3.848 -4.472 5.159
Ir 5.043 -0.363 2.460
Sc 6.738 -6.300 4.427
Sc 3.325 -1.620 3.772
Sc 8.884 -5.479 2.403
In 7.240 -3.826 6.018
Sc 9.767 -5.715 5.692
Sc 0.296 -2.204 2.507
CELL_PARAMETERS angstrom
-1.393 -2.208 4.679
1.371 -4.987 -1.399
10.086 -0.725 4.919
```

[4]
Compound: ScIn3Ir
Source: Alexandria via LeMat-Bulk
Functional: GGA-PBE
Structure: optimized geometry Values from VASP.

Volume (Å³/cell): 133.2
ρ (kg/m³): 7248
DFT formation energy (eV/atom): 0.15
Final energy (eV/f.u.): -22.67

Structure (Quantum ESPRESSO input):
```
&SYSTEM
  ibrav = 0, nat = 5, ntyp = 3
/
ATOMIC_SPECIES
Ir 192.22 Ir.upf
In 114.82 In.upf
Sc 44.96 Sc.upf
ATOMIC_POSITIONS angstrom
Ir 0.000 0.000 0.000
In -1.955 0.618 -1.523
In 0.302 -2.191 -1.277
In -1.615 -1.158 1.604
Sc -3.268 -2.730 -1.196
CELL_PARAMETERS angstrom
-3.910 1.237 -3.045
0.604 -4.381 -2.555
-3.231 -2.315 3.208
```

[5]
Compound: Sc2InIr2
Source: Alexandria via LeMat-Bulk
Functional: GGA-PBE
Structure: optimized geometry Values from VASP.

Volume (Å³/cell): 104.4
ρ (kg/m³): 9369
DFT formation energy (eV/atom): -0.46
Final energy (eV/f.u.): -35.43

Structure (Quantum ESPRESSO input):
```
&SYSTEM
  ibrav = 0, nat = 5, ntyp = 3
/
ATOMIC_SPECIES
Ir 192.22 Ir.upf
Sc 44.96 Sc.upf
In 114.82 In.upf
ATOMIC_POSITIONS angstrom
Ir 0.167 -6.637 -3.494
Sc -1.410 -4.919 -2.211
In 0.000 0.000 0.000
Ir -0.270 -2.515 -2.098
Sc 1.306 -4.234 -3.382
CELL_PARAMETERS angstrom
-3.458 -2.131 -1.394
1.975 -0.762 -3.736
1.378 -6.259 -0.463
```

[6]
Compound: ScInIr2
Source: Alexandria via LeMat-Bulk
Functional: GGA-PBE
Structure: optimized geometry Values from VASP.

Volume (Å³/cell): 72.6
ρ (kg/m³): 12444
DFT formation energy (eV/atom): 0.03
Final energy (eV/f.u.): -26.69

Structure (Quantum ESPRESSO input):
```
&SYSTEM
  ibrav = 0, nat = 4, ntyp = 3
/
ATOMIC_SPECIES
In 114.82 In.upf
Ir 192.22 Ir.upf
Sc 44.96 Sc.upf
ATOMIC_POSITIONS angstrom
In 0.106 16.475 11.201
Ir 0.036 5.503 3.742
Sc 0.073 11.300 7.683
Ir 0.143 22.129 15.045
CELL_PARAMETERS angstrom
-0.933 8.220 3.808
-0.737 6.500 6.336
1.813 7.444 4.924
```

[7]
Compound: ScIn2Ir2
Source: Alexandria via LeMat-Bulk
Functional: GGA-PBE
Structure: optimized geometry Values from VASP.

Volume (Å³/cell): 192.4
Offset from the most stable computed form (meV/atom): 0
ρ (kg/m³): 11373
DFT formation energy (eV/atom): -0.35
Final energy (eV/f.u.): -31.30

Structure (Quantum ESPRESSO input):
```
&SYSTEM
  ibrav = 0, nat = 10, ntyp = 3
/
ATOMIC_SPECIES
In 114.82 In.upf
Sc 44.96 Sc.upf
Ir 192.22 Ir.upf
ATOMIC_POSITIONS angstrom
In 1.146 4.638 1.972
Sc 0.000 0.000 0.000
In 2.346 1.146 1.972
Sc 3.492 3.492 0.000
In 4.638 5.839 1.972
Ir 0.950 2.542 0.000
In 5.839 2.346 1.972
Ir 4.442 0.950 0.000
Ir 6.035 4.442 0.000
Ir 2.542 6.035 0.000
CELL_PARAMETERS angstrom
6.985 0.000 0.000
0.000 6.985 0.000
0.000 0.000 3.945
```

[8]
Compound: ScInIr2
Source: Alexandria via LeMat-Bulk
Functional: GGA-PBE
Structure: optimized geometry Values from VASP.

Volume (Å³/cell): 67.4
ρ (kg/m³): 13405
DFT formation energy (eV/atom): -0.63
Final energy (eV/f.u.): -29.32

Structure (Quantum ESPRESSO input):
```
&SYSTEM
  ibrav = 0, nat = 4, ntyp = 3
/
ATOMIC_SPECIES
Ir 192.22 Ir.upf
In 114.82 In.upf
Sc 44.96 Sc.upf
ATOMIC_POSITIONS angstrom
Ir 2.186 2.186 0.000
Ir 0.000 0.000 0.000
In 0.000 2.186 1.764
Sc 2.186 0.000 1.764
CELL_PARAMETERS angstrom
4.373 0.000 0.000
0.000 4.371 0.000
0.000 0.000 3.527
```

[9]
Compound: ScInIr2
Source: Alexandria via LeMat-Bulk
Functional: GGA-PBE
Structure: optimized geometry Values from VASP.

Volume (Å³/cell): 67.9
ρ (kg/m³): 13305
DFT formation energy (eV/atom): -0.48
Final energy (eV/f.u.): -28.70

Structure (Quantum ESPRESSO input):
```
&SYSTEM
  ibrav = 0, nat = 4, ntyp = 3
/
ATOMIC_SPECIES
Sc 44.96 Sc.upf
Ir 192.22 Ir.upf
In 114.82 In.upf
ATOMIC_POSITIONS angstrom
Sc -1.971 -1.413 3.707
Ir 0.768 -0.939 2.696
In -0.912 -2.546 1.191
Ir -3.941 -2.825 7.413
CELL_PARAMETERS angstrom
-0.291 0.194 5.212
-3.650 -3.019 2.202
3.797 -0.661 -3.526
```

[10]
Compound: ScInIr2
Source: Alexandria via LeMat-Bulk
Functional: GGA-PBE
Structure: optimized geometry Values from VASP.

Volume (Å³/cell): 70.1
ρ (kg/m³): 12885
DFT formation energy (eV/atom): -0.27
Final energy (eV/f.u.): -27.86

Structure (Quantum ESPRESSO input):
```
&SYSTEM
  ibrav = 0, nat = 4, ntyp = 3
/
ATOMIC_SPECIES
Ir 192.22 Ir.upf
In 114.82 In.upf
Sc 44.96 Sc.upf
ATOMIC_POSITIONS angstrom
Ir 25.222 4.321 2.543
Ir 12.736 2.182 1.284
In 18.979 3.251 1.914
Sc 6.326 1.084 0.638
CELL_PARAMETERS angstrom
8.781 -0.053 -0.031
8.262 2.972 -0.031
8.262 1.415 2.614
```